CrCdBrO4 | PBE+U | optimized geometry

Cell: 11.7485 6.2598 6.8557 Å, 90.00 102.03 90.00°
Space group C2/m (No. 12)
Inequivalent atoms, fractional coordinates:
Cr1 0.1356 0.0000 0.2494 x4
Cd1 0.2015 0.0000 0.8174 x4
Br1 0.0332 0.5000 0.6700 x4
O1 0.0067 0.0000 0.7692 x4
O2 0.1761 0.2164 0.1318 x8
O3 0.2002 0.0000 0.4861 x4

Calculated values
ρ (g/cm3): 4.15
Total energy (eV per atom): -5.21
DOS(E_F) (states/eV/f.u.): 0.0
Total magnetization (μB/f.u.): 0.00